Record 1
Material: Hf2BMoCl
Method: DFT, meta-GGA SCAN
State: single point on PBEsol structure

```
data_Hf2BMoCl
_symmetry_space_group_name_H-M 'P 1'
_symmetry_Int_Tables_number 1
_cell_length_a 4.664
_cell_length_b 4.664
_cell_length_c 3.849
_cell_angle_alpha 90.00
_cell_angle_beta 90.00
_cell_angle_gamma 90.00
loop_
_symmetry_equiv_pos_as_xyz
'x,y,z'
loop_
_atom_site_label
_atom_site_fract_x
_atom_site_fract_y
_atom_site_fract_z
Hf1 0.000 0.500 0.000
Hf2 0.500 0.000 0.000
B1 0.000 0.000 0.000
Mo1 0.500 0.500 0.500
Cl1 0.000 0.000 0.500
```

The value obtained for the final energy is -34.273 eV/atom. For the formation energy from raw total energies, the calculation gives 0.855 eV/atom. Its density of states at the Fermi level is 4.5 states/eV per cell. As for the crystal system: tetragonal.

---

Record 2
Material: Cs2AgAuCl6
Method: DFT, meta-GGA SCAN
State: single point on PBEsol structure

```
data_Cs2AgAuCl6
_symmetry_space_group_name_H-M 'P 1'
_symmetry_Int_Tables_number 1
_cell_length_a 7.467
_cell_length_b 7.467
_cell_length_c 7.467
_cell_angle_alpha 122.53
_cell_angle_beta 122.53
_cell_angle_gamma 85.67
loop_
_symmetry_equiv_pos_as_xyz
'x,y,z'
loop_
_atom_site_label
_atom_site_fract_x
_atom_site_fract_y
_atom_site_fract_z
Cs1 0.250 0.750 0.500
Cs2 0.750 0.250 0.500
Ag1 0.000 0.000 0.000
Au1 0.500 0.500 0.000
Cl1 0.216 0.216 0.000
Cl2 0.270 0.270 0.541
Cl3 0.270 0.730 0.000
Cl4 0.730 0.270 0.000
Cl5 0.730 0.730 0.459
Cl6 0.784 0.784 0.000
```

The value obtained for the final energy is -23.663 eV/atom. For the formation energy from raw total energies, the calculation gives -1.261 eV/atom. As for the crystal system: tetragonal.

---

Record 3
Material: K2SiTe
Method: DFT, meta-GGA SCAN
State: single point on PBEsol structure

```
data_K2SiTe
_symmetry_space_group_name_H-M 'P 1'
_symmetry_Int_Tables_number 1
_cell_length_a 3.837
_cell_length_b 3.837
_cell_length_c 9.915
_cell_angle_alpha 90.00
_cell_angle_beta 90.00
_cell_angle_gamma 90.00
loop_
_symmetry_equiv_pos_as_xyz
'x,y,z'
loop_
_atom_site_label
_atom_site_fract_x
_atom_site_fract_y
_atom_site_fract_z
K1 0.000 0.000 0.000
K2 0.500 0.500 0.416
Si1 0.000 0.000 0.659
Te1 0.500 0.500 0.756
```

The value obtained for the final energy is -16.057 eV/atom. The energy relative to the lowest polymorph listed for this composition is 0.000 eV per formula unit. For the formation energy from raw total energies, the calculation gives -0.076 eV/atom. Its density of states at the Fermi level is 1.1 states/eV per cell. As for the crystal system: tetragonal.

---

Record 4
Material: YHSO5
Method: DFT, meta-GGA SCAN
State: single point on PBEsol structure

```
data_YHSO5
_symmetry_space_group_name_H-M 'P 1'
_symmetry_Int_Tables_number 1
_cell_length_a 7.926
_cell_length_b 10.890
_cell_length_c 10.932
_cell_angle_alpha 90.00
_cell_angle_beta 132.52
_cell_angle_gamma 90.00
loop_
_symmetry_equiv_pos_as_xyz
'x,y,z'
loop_
_atom_site_label
_atom_site_fract_x
_atom_site_fract_y
_atom_site_fract_z
Y1 0.212 0.061 0.372
Y2 0.212 0.439 0.872
Y3 0.277 0.576 0.590
Y4 0.277 0.924 0.090
Y5 0.723 0.076 0.910
Y6 0.723 0.424 0.410
Y7 0.788 0.561 0.128
Y8 0.788 0.939 0.628
H1 0.054 0.119 0.886
H2 0.054 0.381 0.386
H3 0.446 0.589 0.143
H4 0.446 0.911 0.643
H5 0.554 0.089 0.357
H6 0.554 0.411 0.857
H7 0.946 0.619 0.614
H8 0.946 0.881 0.114
S1 0.134 0.170 0.634
S2 0.134 0.330 0.134
S3 0.412 0.691 0.367
S4 0.412 0.809 0.867
S5 0.588 0.191 0.133
S6 0.588 0.309 0.633
S7 0.866 0.670 0.866
S8 0.866 0.830 0.366
O1 0.030 0.546 0.630
O2 0.030 0.954 0.130
O3 0.049 0.594 0.902
O4 0.049 0.906 0.402
O5 0.096 0.199 0.156
O6 0.096 0.301 0.656
O7 0.123 0.172 0.494
O8 0.123 0.328 0.994
O9 0.231 0.627 0.352
O10 0.231 0.873 0.852
O11 0.320 0.737 0.205
O12 0.320 0.763 0.705
O13 0.358 0.125 0.784
O14 0.358 0.375 0.284
O15 0.401 0.104 0.068
O16 0.401 0.396 0.568
O17 0.486 0.013 0.357
O18 0.486 0.487 0.857
O19 0.495 0.705 0.982
O20 0.495 0.795 0.482
O21 0.505 0.205 0.518
O22 0.505 0.295 0.018
O23 0.514 0.513 0.143
O24 0.514 0.987 0.643
O25 0.599 0.604 0.432
O26 0.599 0.896 0.932
O27 0.642 0.625 0.716
O28 0.642 0.875 0.216
O29 0.680 0.237 0.295
O30 0.680 0.263 0.795
O31 0.769 0.127 0.148
O32 0.769 0.373 0.648
O33 0.877 0.672 0.006
O34 0.877 0.828 0.506
O35 0.904 0.699 0.344
O36 0.904 0.801 0.844
O37 0.951 0.094 0.598
O38 0.951 0.406 0.098
O39 0.970 0.046 0.870
O40 0.970 0.454 0.370
```

The value obtained for the final energy is -11.391 eV/atom. Its density of states at the Fermi level is 0.0 states/eV per cell. As for the crystal system: monoclinic.

---

Record 5
Material: Cd2InHg
Method: DFT, meta-GGA SCAN
State: single point on PBEsol structure

```
data_Cd2InHg
_symmetry_space_group_name_H-M 'P 1'
_symmetry_Int_Tables_number 1
_cell_length_a 3.147
_cell_length_b 4.425
_cell_length_c 6.385
_cell_angle_alpha 90.00
_cell_angle_beta 90.00
_cell_angle_gamma 90.00
loop_
_symmetry_equiv_pos_as_xyz
'x,y,z'
loop_
_atom_site_label
_atom_site_fract_x
_atom_site_fract_y
_atom_site_fract_z
Cd1 0.000 0.000 0.000
Cd2 0.500 0.500 0.238
In1 0.500 0.500 0.742
Hg1 0.000 0.000 0.481
```

The energy relative to the elements comes out at 0.0400 eV per atom. The value obtained for the final energy is -40.555 eV/atom. The energy relative to the lowest polymorph listed for this composition is 0.091 eV per formula unit. Its density of states at the Fermi level is 1.3 states/eV per cell. As for the crystal system: orthorhombic.

---

Record 6
Material: La3Sc
Method: DFT, meta-GGA SCAN
State: single point on PBEsol structure

```
data_La3Sc
_symmetry_space_group_name_H-M 'P 1'
_symmetry_Int_Tables_number 1
_cell_length_a 6.065
_cell_length_b 6.065
_cell_length_c 3.562
_cell_angle_alpha 90.00
_cell_angle_beta 90.00
_cell_angle_gamma 109.53
loop_
_symmetry_equiv_pos_as_xyz
'x,y,z'
loop_
_atom_site_label
_atom_site_fract_x
_atom_site_fract_y
_atom_site_fract_z
La1 0.000 0.000 0.000
La2 0.000 0.500 0.500
La3 0.500 0.000 0.500
Sc1 0.500 0.500 0.000
```

The energy relative to the elements comes out at 0.0484 eV per atom. The value obtained for the final energy is -35.840 eV/atom. Its density of states at the Fermi level is 4.8 states/eV per cell. As for the crystal system: orthorhombic.

---

Record 7
Material: Tl5Cd
Method: DFT, meta-GGA SCAN
State: single point on PBEsol structure

```
data_Tl5Cd
_symmetry_space_group_name_H-M 'P 1'
_symmetry_Int_Tables_number 1
_cell_length_a 7.658
_cell_length_b 7.658
_cell_length_c 4.834
_cell_angle_alpha 90.00
_cell_angle_beta 90.00
_cell_angle_gamma 145.26
loop_
_symmetry_equiv_pos_as_xyz
'x,y,z'
loop_
_atom_site_label
_atom_site_fract_x
_atom_site_fract_y
_atom_site_fract_z
Tl1 0.000 0.000 0.000
Tl2 0.162 0.838 0.500
Tl3 0.336 0.664 0.000
Tl4 0.664 0.336 0.000
Tl5 0.838 0.162 0.500
Cd1 0.500 0.500 0.500
```

The energy relative to the elements comes out at 0.0520 eV per atom. The value obtained for the final energy is -65.316 eV/atom. The energy relative to the lowest polymorph listed for this composition is 0.106 eV per formula unit. Its density of states at the Fermi level is 2.7 states/eV per cell. As for the crystal system: orthorhombic.

---

Record 8
Material: Si2NiW
Method: DFT, meta-GGA SCAN
State: single point on PBEsol structure

```
data_Si2NiW
_symmetry_space_group_name_H-M 'P 1'
_symmetry_Int_Tables_number 1
_cell_length_a 2.640
_cell_length_b 4.230
_cell_length_c 4.608
_cell_angle_alpha 90.00
_cell_angle_beta 90.00
_cell_angle_gamma 90.00
loop_
_symmetry_equiv_pos_as_xyz
'x,y,z'
loop_
_atom_site_label
_atom_site_fract_x
_atom_site_fract_y
_atom_site_fract_z
Si1 0.000 0.000 0.000
Si2 0.000 0.500 0.288
Ni1 0.000 0.000 0.509
W1 0.500 0.500 0.780
```

The value obtained for the final energy is -26.539 eV/atom. For the formation energy from raw total energies, the calculation gives -0.066 eV/atom. Its density of states at the Fermi level is 1.7 states/eV per cell. As for the crystal system: orthorhombic.

---

Record 9
Material: Rb2LiTbCl6
Method: DFT, meta-GGA SCAN
State: single point on PBEsol structure

```
data_Rb2LiTbCl6
_symmetry_space_group_name_H-M 'P 1'
_symmetry_Int_Tables_number 1
_cell_length_a 7.255
_cell_length_b 7.255
_cell_length_c 7.255
_cell_angle_alpha 60.00
_cell_angle_beta 60.00
_cell_angle_gamma 60.00
loop_
_symmetry_equiv_pos_as_xyz
'x,y,z'
loop_
_atom_site_label
_atom_site_fract_x
_atom_site_fract_y
_atom_site_fract_z
Rb1 0.250 0.250 0.250
Rb2 0.750 0.750 0.750
Li1 0.000 0.000 0.000
Tb1 0.500 0.500 0.500
Cl1 0.246 0.246 0.754
Cl2 0.246 0.754 0.246
Cl3 0.246 0.754 0.754
Cl4 0.754 0.246 0.246
Cl5 0.754 0.246 0.754
Cl6 0.754 0.754 0.246
```

The value obtained for the final energy is -16.196 eV/atom. For the formation energy from raw total energies, the calculation gives -2.346 eV/atom. Its density of states at the Fermi level is 0.0 states/eV per cell. As for the crystal system: cubic.

---

Record 10
Material: ScAg4Rh
Method: DFT, meta-GGA SCAN
State: single point on PBEsol structure

```
data_ScAg4Rh
_symmetry_space_group_name_H-M 'P 1'
_symmetry_Int_Tables_number 1
_cell_length_a 5.263
_cell_length_b 5.263
_cell_length_c 5.263
_cell_angle_alpha 60.00
_cell_angle_beta 60.00
_cell_angle_gamma 60.00
loop_
_symmetry_equiv_pos_as_xyz
'x,y,z'
loop_
_atom_site_label
_atom_site_fract_x
_atom_site_fract_y
_atom_site_fract_z
Sc1 0.000 0.000 0.000
Ag1 0.126 0.625 0.625
Ag2 0.625 0.126 0.625
Ag3 0.625 0.625 0.126
Ag4 0.625 0.625 0.625
Rh1 0.250 0.250 0.250
```

The energy relative to the elements comes out at 0.0171 eV per atom. The value obtained for the final energy is -28.896 eV/atom. Its density of states at the Fermi level is 3.6 states/eV per cell. As for the crystal system: cubic.

---

- The lowest final energy belongs to which entry?
  Tl5Cd

---

- final energy of number 8 (Si2NiW)?
  -26.539 eV/atom

---

- Which value of final energy does entry 2 give?
  -23.663 eV/atom